(1)
Below is crystalline GePbSeBr2 at its relaxed geometry, with properties calculated at the GGA-PBE level.

The structure in extended XYZ format:
```
5
Lattice="5.2873 0.0000 0.0000 0.0000 5.2873 0.0000 0.0000 0.0000 5.3742" Properties=species:S:1:pos:R:3 pbc="T T T"
Pb 2.6436 2.6436 2.6871
Ge 0.0000 0.0000 0.0000
Br 2.6436 0.0000 0.0000
Se 0.0000 0.0000 2.6871
Br 0.0000 2.6436 0.0000
```

Output
Crystal system: tetragonal
Energy, eV/atom: -3.27
Energy above the lowest structure with this stoichiometry, meV per atom: 0
SG: P4/mmm, No. 123

***

(2)
Below is crystalline SrGePbBr6 at its relaxed geometry, with properties calculated at the GGA-PBE level.

The structure in extended XYZ format:
```
18
Lattice="-1.9892 0.6446 7.1792 7.2042 -0.8288 -1.8235 1.3104 13.1982 -0.8220" Properties=species:S:1:pos:R:3 pbc="T T T"
Br 2.1708 4.8797 1.6440
Br 5.9102 10.9860 -1.7623
Br 7.1910 7.6782 0.0870
Sr 2.0580 10.0522 3.5617
Br 3.3378 7.9937 -0.9904
Pb 0.0000 0.0000 0.0000
Pb 0.6552 6.5991 -0.4110
Br 6.8926 11.1307 2.1264
Br 3.4765 1.5710 3.5189
Br -0.3673 1.8834 2.4072
Ge 5.1225 9.5610 0.5608
Br 0.6151 2.0280 6.2959
Br 3.0489 11.4431 1.0147
Br 3.1876 5.0204 5.5240
Ge 1.4028 3.4530 3.9728
Br 4.3546 8.1344 2.8896
Sr 4.4673 2.9619 0.9719
Br -0.6657 5.3358 4.4466
```

Output
Crystal system: trigonal
Energy, eV/atom: -3.40
SG: P-31c, No. 163

***

(3)
Below is crystalline TlGePbBr5 at its relaxed geometry, with properties calculated at the GGA-PBE level.

The structure in extended XYZ format:
```
16
Lattice="7.9069 0.7421 -0.5091 -1.5984 7.7792 -0.5091 -3.2254 -4.3567 10.4621" Properties=species:S:1:pos:R:3 pbc="T T T"
Br 6.1387 3.0909 0.3014
Tl 0.6205 4.4503 2.1064
Br -0.4484 4.5953 5.5325
Br 3.5316 -0.4307 3.9115
Ge -1.4765 2.6305 7.3375
Br -1.9936 6.3856 2.1064
Br 2.5175 1.7156 0.5798
Br 5.0768 -2.2211 7.3375
Br 0.5657 2.4489 8.8642
Pb 0.0000 0.0000 0.0000
Pb -1.6127 -2.1783 5.2310
Ge 4.5596 1.5340 2.1064
Br 3.7898 3.4343 3.6331
Tl 2.4627 -0.2858 7.3375
Br -0.7067 0.7303 5.8108
Br -3.0556 1.0737 9.1425
```

Output
Crystal system: monoclinic
Energy, eV/atom: -3.13
SG: C2/c, No. 15

***

(4)
Below is crystalline GePbWBr2 at its relaxed geometry, with properties calculated at the GGA-PBE level.

The structure in extended XYZ format:
```
5
Lattice="-1.1650 5.1067 -2.1631 1.9839 -1.7096 -5.1044 -5.1882 -1.7845 -1.4188" Properties=species:S:1:pos:R:3 pbc="T T T"
Br -2.5941 -0.8923 -0.7094
W -2.1846 0.8063 -4.3431
Br -0.5825 2.5533 -1.0816
Pb 0.0000 0.0000 0.0000
Ge 0.9919 -0.8548 -2.5522
```

Output
Crystal system: tetragonal
Energy, eV/atom: -3.47
SG: P4/mmm, No. 123

***

(5)
Below is crystalline Ge2PdBr8 at its relaxed geometry, with properties calculated at the GGA-PBE level.

The structure in extended XYZ format:
```
11
Lattice="-6.0090 -1.3523 -3.1332 0.0089 -7.8666 2.4381 -4.0317 -0.7988 7.1369" Properties=species:S:1:pos:R:3 pbc="T T T"
Ge -7.1657 -7.8977 5.7176
Br -5.2222 -6.5109 -0.4389
Br -5.4603 -8.0341 7.3893
Ge -2.8660 -2.1200 0.7242
Br -3.3372 -3.5718 2.5029
Br -4.5714 -1.9836 -0.9474
Br -4.8096 -3.5068 6.8807
Br -2.3421 -7.8229 4.0113
Br -7.6897 -2.1947 2.4305
Br -6.6946 -6.4459 3.9389
Pd 0.0000 0.0000 0.0000
```

Output
Crystal system: monoclinic
Energy, eV/atom: -2.93
Energy above the lowest structure with this stoichiometry, meV per atom: 0
SG: C2/m, No. 12

***

(6)
Below is crystalline Ge2Pd2Br at its relaxed geometry, with properties calculated at the GGA-PBE level.

The structure in extended XYZ format:
```
10
Lattice="7.4997 0.0000 0.0000 0.0000 7.4997 0.0000 0.0000 0.0000 3.3165" Properties=species:S:1:pos:R:3 pbc="T T T"
Br 3.7499 3.7499 0.0000
Ge 2.6808 1.0691 1.6582
Br 0.0000 0.0000 0.0000
Pd 1.0117 2.7382 0.0000
Pd 2.7382 6.4880 0.0000
Ge 6.4307 2.6808 1.6582
Pd 6.4880 4.7615 0.0000
Ge 1.0691 4.8189 1.6582
Pd 4.7615 1.0117 0.0000
Ge 4.8189 6.4307 1.6582
```

Output
Crystal system: tetragonal
Energy, eV/atom: -4.40
Energy above the lowest structure with this stoichiometry, meV per atom: 32
SG: P4/mbm, No. 127

***

(7)
Below is crystalline Ge2Pd2Br at its relaxed geometry, with properties calculated at the GGA-PBE level.

The structure in extended XYZ format:
```
5
Lattice="4.0816 0.0000 0.0000 0.0000 4.0816 0.0000 2.0408 2.0408 5.8621" Properties=species:S:1:pos:R:3 pbc="T T T"
Ge 4.0816 4.0816 4.5044
Br 0.0000 0.0000 0.0000
Pd 2.0408 4.0816 2.9311
Ge 2.0408 2.0408 1.3577
Pd 4.0816 2.0408 2.9311
```

Output
Crystal system: tetragonal
Energy, eV/atom: -4.43
Energy above the lowest structure with this stoichiometry, meV per atom: 0
SG: I4/mmm, No. 139

***

(8)
Below is crystalline GePd2Br at its relaxed geometry, with properties calculated at the GGA-PBE level.

The structure in extended XYZ format:
```
8
Lattice="-4.0713 -1.4921 4.8881 0.8211 -6.3593 -1.2573 1.5999 -4.0339 4.4685" Properties=species:S:1:pos:R:3 pbc="T T T"
Pd 0.0080 -6.1783 4.6717
Pd 0.2706 -5.2185 1.1027
Pd -1.6710 -9.6867 6.5695
Ge -1.6251 -3.9257 1.8154
Ge 0.3979 -7.1594 2.5133
Pd -1.9084 -2.6870 3.8546
Br 0.0000 0.0000 0.0000
Br -2.0483 -4.7258 5.5860
```

Output
Crystal system: tetragonal
Energy, eV/atom: -4.18
SG: I-42d, No. 122

***

(9)
Below is crystalline Ge2PdBr at its relaxed geometry, with properties calculated at the GGA-PBE level.

The structure in extended XYZ format:
```
8
Lattice="-2.9723 3.1720 -3.9778 3.4794 -2.0938 -4.2695 -3.8316 -4.4162 -5.0226" Properties=species:S:1:pos:R:3 pbc="T T T"
Br -0.0494 -2.9855 -6.7079
Pd 0.0000 0.0000 0.0000
Ge 1.0932 -2.2809 -4.0894
Pd -3.2752 -0.3526 -6.5620
Br 0.2535 0.5391 -4.1236
Ge -2.9739 -2.7331 -6.5034
Ge -2.1397 -2.5435 -11.3396
Ge -2.6287 0.8814 -4.6074
```

Output
Crystal system: tetragonal
Energy, eV/atom: -3.99
Energy above the lowest structure with this stoichiometry, meV per atom: 0
SG: I-42d, No. 122

***

(10)
Below is crystalline Ge2PdBr at its relaxed geometry, with properties calculated at the GGA-PBE level.

The structure in extended XYZ format:
```
4
Lattice="3.6512 -3.1085 0.2829 0.3938 -2.9024 3.8072 -0.8134 -4.7102 -0.4763" Properties=species:S:1:pos:R:3 pbc="T T T"
Ge 2.4237 -8.0408 2.7103
Br 0.0000 0.0000 0.0000
Ge 0.8079 -2.6803 0.9034
Pd 1.6158 -5.3606 1.8069
```

Output
Crystal system: cubic
Energy, eV/atom: -3.73
Energy above the lowest structure with this stoichiometry, meV per atom: 259
SG: Fm-3m, No. 225

***

(11)
Below is crystalline GePdBr3 at its relaxed geometry, with properties calculated at the GGA-PBE level.

The structure in extended XYZ format:
```
5
Lattice="-2.0660 2.3191 4.0897 -4.1506 1.1985 -2.7764 -2.2083 -4.4224 1.3922" Properties=species:S:1:pos:R:3 pbc="T T T"
Br -1.1041 -2.2112 0.6961
Pd 0.0000 0.0000 0.0000
Br -1.0330 1.1595 2.0449
Br -2.0753 0.5993 -1.3882
Ge -4.2124 -0.4524 1.3528
```

Output
Crystal system: cubic
Energy, eV/atom: -2.89
Energy above the lowest structure with this stoichiometry, meV per atom: 0
SG: Pm-3m, No. 221

***

(12)
Below is crystalline Ge4PdBr2 at its relaxed geometry, with properties calculated at the GGA-PBE level.

The structure in extended XYZ format:
```
7
Lattice="-4.2409 1.7630 0.6756 -1.5161 -4.1699 1.3647 -0.6649 0.8151 9.6471" Properties=species:S:1:pos:R:3 pbc="T T T"
Br -4.2619 -1.0436 7.8669
Ge -0.7580 -2.0850 0.6824
Pd 0.0000 0.0000 0.0000
Br -2.1599 -0.5482 3.8205
Ge -2.1204 0.8815 0.3378
Ge -5.1149 -1.8215 4.5423
Ge -1.3069 0.2297 7.1451
```

Output
Crystal system: tetragonal
Energy, eV/atom: -3.64
SG: I4/mmm, No. 139

***

(13)
Below is crystalline Ge2PdBr8 at its relaxed geometry, with properties calculated at the GGA-PBE level.

The structure in extended XYZ format:
```
11
Lattice="7.6627 -1.5626 1.5164 -0.7257 8.3262 -1.1605 -1.9908 -1.5626 7.5534" Properties=species:S:1:pos:R:3 pbc="T T T"
Br 1.0740 4.4261 1.7174
Br 5.2188 4.7060 1.3757
Br 3.8723 0.7749 6.1920
Ge 4.2554 2.9877 6.8047
Ge 0.6908 2.2134 1.1047
Br -0.2726 0.4950 6.5337
Pd 0.0000 0.0000 0.0000
Br 3.2214 4.2680 5.1512
Br 1.7249 0.9330 2.7582
Br 5.9938 0.4950 2.6149
Br -1.0475 4.7060 5.2945
```

Output
Crystal system: monoclinic
Energy, eV/atom: -2.90
Energy above the lowest structure with this stoichiometry, meV per atom: 28
SG: C2/m, No. 12

***

(14)
Below is crystalline GePdBr3 at its relaxed geometry, with properties calculated at the GGA-PBE level.

The structure in extended XYZ format:
```
5
Lattice="5.3231 0.0000 0.0000 0.0000 5.3231 0.0000 0.0000 0.0000 5.3231" Properties=species:S:1:pos:R:3 pbc="T T T"
Ge 0.0000 0.0000 0.0000
Pd 2.6615 2.6615 2.6615
Br 0.0000 0.0000 2.6615
Br 0.0000 2.6615 0.0000
Br 2.6615 0.0000 0.0000
```

Output
Crystal system: cubic
Energy, eV/atom: -2.80
Energy above the lowest structure with this stoichiometry, meV per atom: 90
SG: Pm-3m, No. 221

***

(15)
Below is crystalline GePd2Br at its relaxed geometry, with properties calculated at the GGA-PBE level.

The structure in extended XYZ format:
```
4
Lattice="-0.0696 -1.0191 4.5160 2.1426 2.7675 3.0311 -2.4830 2.5960 2.9211" Properties=species:S:1:pos:R:3 pbc="T T T"
Ge 0.0000 0.0000 0.0000
Pd -0.1025 1.0861 2.6170
Br -0.2050 2.1722 5.2341
Pd -0.3075 3.2583 7.8511
```

Output
Crystal system: cubic
Energy, eV/atom: -4.18
SG: Fm-3m, No. 225

***

(16)
Below is crystalline Pr6GePd2Br3 at its relaxed geometry, with properties calculated at the GGA-PBE level.

The structure in extended XYZ format:
```
12
Lattice="7.4355 0.0044 -0.0006 -3.7121 6.4425 -0.0006 -1.2420 -2.1504 7.4331" Properties=species:S:1:pos:R:3 pbc="T T T"
Br 5.0296 -0.0400 3.7160
Pr 3.7294 2.1173 5.8292
Pr -0.0299 4.2884 5.8292
Pr 2.5113 0.0081 1.6028
Br 1.2407 2.1483 3.7160
Pr 0.0150 0.0260 5.8467
Pr -1.2480 2.1792 1.6028
Pd 3.7300 2.1444 -0.0006
Br -2.5482 4.3365 3.7160
Ge 0.0000 0.0000 0.0000
Pd -0.0067 4.3025 -0.0006
Pr 2.4664 4.2706 1.5853
```

Output
Crystal system: monoclinic
Energy, eV/atom: -5.06
SG: C2/m, No. 12

***

(17)
Below is crystalline Ge2PdRuBr at its relaxed geometry, with properties calculated at the GGA-PBE level.

The structure in extended XYZ format:
```
5
Lattice="4.7396 0.0000 0.0000 0.0000 5.3817 0.0000 0.0000 0.0000 4.7396" Properties=species:S:1:pos:R:3 pbc="T T T"
Br 2.3698 2.6908 2.3698
Ru 0.0000 2.6908 0.0000
Ge 2.3698 0.0000 0.0000
Pd 0.0000 0.0000 0.0000
Ge 0.0000 0.0000 2.3698
```

Output
Crystal system: tetragonal
Energy, eV/atom: -4.28
SG: P4/mmm, No. 123

***

(18)
Below is crystalline GePdSeBr2 at its relaxed geometry, with properties calculated at the GGA-PBE level.

The structure in extended XYZ format:
```
5
Lattice="-3.7697 3.1971 -0.9218 -0.9708 0.2756 4.9257 3.2393 3.9400 0.4180" Properties=species:S:1:pos:R:3 pbc="T T T"
Ge -0.7506 3.7063 2.2110
Pd 0.0000 0.0000 0.0000
Br -1.8848 1.5985 -0.4609
Se 1.6196 1.9700 0.2090
Br -0.4854 0.1378 2.4629
```

Output
Crystal system: tetragonal
Energy, eV/atom: -3.16
Energy above the lowest structure with this stoichiometry, meV per atom: 0
SG: P4/mmm, No. 123

***

(19)
Below is crystalline GePdSeBr2 at its relaxed geometry, with properties calculated at the GGA-PBE level.

The structure in extended XYZ format:
```
5
Lattice="-2.0774 4.6946 -0.8282 -1.5356 0.1962 4.9643 4.4773 2.2101 1.2977" Properties=species:S:1:pos:R:3 pbc="T T T"
Br -1.0387 2.3473 -0.4141
Br -0.7678 0.0981 2.4821
Se 2.2386 1.1051 0.6488
Ge 0.0000 0.0000 0.0000
Pd 0.4321 3.5505 2.7169
```

Output
Crystal system: tetragonal
Energy, eV/atom: -2.94
Energy above the lowest structure with this stoichiometry, meV per atom: 221
SG: P4/mmm, No. 123

***

(20)
Below is crystalline ZrGePdBr2 at its relaxed geometry, with properties calculated at the GGA-PBE level.

The structure in extended XYZ format:
```
5
Lattice="5.2035 0.0000 0.0000 0.0000 5.4612 0.0000 0.0000 0.0000 5.2035" Properties=species:S:1:pos:R:3 pbc="T T T"
Ge 0.0000 2.7306 0.0000
Pd 2.6018 2.7306 2.6018
Zr 0.0000 0.0000 0.0000
Br 0.0000 0.0000 2.6018
Br 2.6018 0.0000 0.0000
```

Output
Crystal system: tetragonal
Energy, eV/atom: -4.14
SG: P4/mmm, No. 123